i) A geometry-optimized RbTl3Sn2 structure, computed with PBE.

Theoretical density ... 7.6 g/cm3
SG ... C2/m (12)

Unit cell a=5.405 b=9.902 c=10.624 alpha=48.53 beta=75.26 gamma=74.16
Fractional positions:
Tl 0.336 0.850 0.478
Sn 0.494 0.182 0.829
Sn 0.506 0.818 0.171
Tl 0.664 0.150 0.522
Tl 0.319 0.457 0.905
Tl 0.681 0.543 0.095
Rb 0.868 0.097 0.166
Sn 0.794 0.708 0.705
Tl 0.957 0.395 0.690
Sn 0.206 0.292 0.295
Tl 0.043 0.605 0.310
Rb 0.132 0.903 0.834

***

ii) A geometry-optimized RbTl3Sn2 structure, computed with PBE.

Theoretical density ... 7.2 g/cm3
SG ... Cmcm (63)

Unit cell a=6.645 b=8.104 c=8.104 alpha=97.17 beta=90.00 gamma=90.00
Fractional positions:
Tl 0.750 0.100 0.442
Rb 0.750 0.677 0.677
Tl 0.750 0.039 0.039
Rb 0.250 0.323 0.323
Sn 0.000 0.771 0.229
Tl 0.250 0.558 0.900
Tl 0.750 0.442 0.100
Tl 0.250 0.961 0.961
Sn 0.500 0.771 0.229
Sn 0.500 0.229 0.771
Sn 0.000 0.229 0.771
Tl 0.250 0.900 0.558

***

i) comes first in stability; the runner-up is 3.7 kJ/mol of atoms higher.